{
  "formula": "CdSiAgMo2",
  "functional": "meta-GGA SCAN",
  "state": "single point on PBEsol structure",
  "magnetic_moment_mub_per_fu": 5.74,
  "dft_energy_ev_per_atom": -26.093,
  "e_form_raw_ev_per_atom": 2.2208,
  "rho_g_cm3": 6.22,
  "lattice_angstrom": [[-0.3866, 3.6065, 3.1077], [-0.5753, -3.2506, 3.7008], [4.9092, -0.0748, 0.6975]],
  "species": ["Mo", "Mo", "Ag", "Cd", "Si"],
  "fractional_positions": [[0.0000, 0.0000, 0.5000], [0.0000, 0.5000, 0.0000], [0.5000, 0.0000, 0.0000], [0.0000, 0.0000, 0.0000], [0.5000, 0.5000, 0.5000]]
}